[1]
The following is a DFT calculation (PBE-GGA) of an optimized crystal structure of CsPrCl3. Values from VASP.

## Properties
As for the space group: Pm-3m (221). As for the density: 3.56 Mg/m³.

Quantum ESPRESSO input file:
```
&SYSTEM
  ibrav = 0, nat = 5, ntyp = 3
/
ATOMIC_SPECIES
Cl 35.45 Cl.upf
Pr 140.91 Pr.upf
Cs 132.91 Cs.upf
CELL_PARAMETERS angstrom
-4.696 0.287 -3.066
-3.007 -1.637 4.451
-0.667 5.364 1.523
ATOMIC_POSITIONS angstrom
Cl -2.348 0.143 -1.533
Pr 0.000 0.000 0.000
Cl -0.333 2.682 0.761
Cs -4.185 2.007 1.454
Cl -1.503 -0.819 2.226
```

---

[2]
The following is a DFT calculation (PBE-GGA) of an optimized crystal structure of FeSb. Values from VASP.

## Properties
As for the space group: Fm-3m (225). As for the density: 7.62 Mg/m³.

Quantum ESPRESSO input file:
```
&SYSTEM
  ibrav = 0, nat = 8, ntyp = 2
/
ATOMIC_SPECIES
Sb 121.76 Sb.upf
Fe 55.84 Fe.upf
CELL_PARAMETERS angstrom
5.369 0.000 0.000
0.000 5.369 0.000
0.000 0.000 5.369
ATOMIC_POSITIONS angstrom
Sb 2.684 0.000 0.000
Sb 0.000 0.000 2.684
Fe 0.000 0.000 0.000
Fe 2.684 0.000 2.684
Sb 2.684 2.684 2.684
Fe 0.000 2.684 2.684
Sb 0.000 2.684 0.000
Fe 2.684 2.684 0.000
```

---

[3]
The following is a DFT calculation (PBE-GGA) of an optimized crystal structure of InRh3. Values from VASP.

## Properties
As for the space group: C2/m (12). The formation energy is -0.131 eV per atom. As for the density: 11.29 Mg/m³.

Quantum ESPRESSO input file:
```
&SYSTEM
  ibrav = 0, nat = 4, ntyp = 2
/
ATOMIC_SPECIES
In 114.82 In.upf
Rh 102.91 Rh.upf
CELL_PARAMETERS angstrom
4.805 0.002 -0.007
3.949 2.738 -0.007
0.881 0.276 4.736
ATOMIC_POSITIONS angstrom
In 0.000 0.000 0.000
Rh 4.818 1.508 2.361
Rh 7.232 2.264 3.468
Rh 2.403 0.752 1.253
```

---

Number 1: energy -4.1688 eV per atom. Number 2: energy -5.8596 eV per atom. Number 3: energy -6.3289 eV per atom.